1.
The following is a DFT calculation (GGA-PBEsol) of a geometry-optimized Ca3BeSn structure.

Calculated values
For the density, the calculation gives 2.7 g/cm³. The volume is 151 Å³/cell. The calculation puts the formation enthalpy at 0 K at 0.1285 eV per atom. The total moment is 0.048 μB per cell.

```
data_Ca3BeSn
_chemical_formula_sum 'Ca3 Be1 Sn1'
_space_group_name_H-M_alt 'P m -3 m'
_space_group_IT_number 221
_space_group_name_Hall '-P 4 2 3'
_cell_length_a 5.3290
_cell_length_b 5.3290
_cell_length_c 5.3290
_cell_angle_alpha 90.00
_cell_angle_beta 90.00
_cell_angle_gamma 90.00
loop_
_atom_site_label
_atom_site_type_symbol
_atom_site_fract_x
_atom_site_fract_y
_atom_site_fract_z
Ca1 Ca 0.0000 0.0000 0.5000
Be1 Be 0.0000 0.0000 0.0000
Sn1 Sn 0.5000 0.5000 0.5000
```

=====

2.
The following is a DFT calculation (GGA-PBEsol) of a geometry-optimized ZnCr2Pb2 structure.

Calculated values
For the density, the calculation gives 10.2 g/cm³. The volume is 189 Å³/cell. The calculation puts the formation enthalpy at 0 K at 0.6023 eV per atom. The total moment is 0.000 μB per cell.

```
data_ZnCr2Pb2
_chemical_formula_sum 'Zn2 Cr4 Pb4'
_space_group_name_H-M_alt 'I 4/m m m'
_space_group_IT_number 139
_space_group_name_Hall '-I 4 2'
_cell_length_a 3.2921
_cell_length_b 3.2921
_cell_length_c 17.4720
_cell_angle_alpha 90.00
_cell_angle_beta 90.00
_cell_angle_gamma 90.00
loop_
_atom_site_label
_atom_site_type_symbol
_atom_site_fract_x
_atom_site_fract_y
_atom_site_fract_z
Zn1 Zn 0.0000 0.0000 0.0000
Cr1 Cr 0.0000 0.5000 0.2500
Pb1 Pb 0.0000 0.0000 0.3851
```

=====

3.
The following is a DFT calculation (GGA-PBEsol) of a geometry-optimized Tl2IrOs structure.

Calculated values
For the density, the calculation gives 18.5 g/cm³. The volume is 142 Å³/cell. The calculation puts the formation enthalpy at 0 K at 1.0240 eV per atom. The total moment is 0.007 μB per cell. The value obtained for the energy relative to the lowest polymorph listed for this composition is 0.086 eV per atom.

```
data_Tl2IrOs
_chemical_formula_sum 'Tl4 Ir2 Os2'
_space_group_name_H-M_alt 'I -4 m 2'
_space_group_IT_number 119
_space_group_name_Hall 'I -4 -2'
_cell_length_a 4.0531
_cell_length_b 4.0531
_cell_length_c 8.6312
_cell_angle_alpha 90.00
_cell_angle_beta 90.00
_cell_angle_gamma 90.00
loop_
_atom_site_label
_atom_site_type_symbol
_atom_site_fract_x
_atom_site_fract_y
_atom_site_fract_z
Tl1 Tl 0.0000 0.0000 0.0000
Tl2 Tl 0.0000 0.5000 0.2500
Ir1 Ir 0.0000 0.0000 0.5000
Os1 Os 0.0000 0.5000 0.7500
```